{"formula": "TaAl5Ru6", "functional": "PBE", "state": "optimized geometry", "cell": [[2.150, -6.418, 0.000], [2.150, 6.418, 0.000], [0.000, 0.000, 6.084]], "species": ["Ta", "Al", "Al", "Al", "Al", "Al", "Ru", "Ru", "Ru", "Ru", "Ru", "Ru"], "frac_coords": [[0.000, 0.000, 0.000], [0.000, 0.000, 0.500], [0.334, 0.666, 0.000], [0.334, 0.666, 0.500], [0.666, 0.334, 0.000], [0.666, 0.334, 0.500], [0.169, 0.831, 0.253], [0.169, 0.831, 0.747], [0.500, 0.500, 0.256], [0.500, 0.500, 0.744], [0.831, 0.169, 0.253], [0.831, 0.169, 0.747]], "density_g_cm3": 9.1, "e_form_mev_per_atom": -700, "crystal_system": "orthorhombic", "dft_energy_ev_per_cell": -94.62, "n_ef_per_ev_atom": 0.9171}

***

{"formula": "Pm2Si2Mo2C", "functional": "PBE", "state": "optimized geometry", "cell": [[5.619, -1.952, 0.000], [5.619, 1.952, 0.000], [-4.279, 0.000, 5.918]], "species": ["Pm", "Pm", "Si", "Si", "Mo", "Mo", "C"], "frac_coords": [[0.076, 0.076, 0.299], [0.924, 0.924, 0.701], [0.366, 0.366, 0.328], [0.634, 0.634, 0.672], [0.295, 0.295, 0.919], [0.705, 0.705, 0.081], [0.500, 0.500, 0.000]], "density_g_cm3": 7.0, "e_form_raw_kj_per_mol_fu": -377, "crystal_system": "monoclinic", "dft_energy_ev_per_cell": -55.14, "n_ef_per_ev_atom": 0.3381}

***

{"formula": "Sr4Hf2Bi", "functional": "PBE", "state": "optimized geometry", "cell": [[-3.258, 3.258, 8.031], [3.258, -3.258, 8.031], [3.258, 3.258, -8.031]], "species": ["Sr", "Sr", "Sr", "Sr", "Hf", "Hf", "Bi"], "frac_coords": [[0.000, 0.500, 0.500], [0.202, 0.202, 0.000], [0.500, 0.000, 0.500], [0.798, 0.798, 0.000], [0.420, 0.420, 0.000], [0.580, 0.580, 0.000], [0.000, 0.000, 0.000]], "density_g_cm3": 4.5, "e_form_mev_per_atom": 625, "crystal_system": "tetragonal", "dft_energy_ev_per_cell": -26.14, "n_ef_per_ev_atom": 1.3810}

***

{"formula": "MgInRhAu", "functional": "PBE", "state": "optimized geometry", "cell": [[3.324, 0.000, 0.000], [0.000, 3.324, 0.000], [0.000, 0.000, 6.346]], "species": ["Mg", "In", "Rh", "Au"], "frac_coords": [[0.000, 0.000, 0.000], [0.000, 0.000, 0.530], [0.500, 0.500, 0.764], [0.500, 0.500, 0.247]], "density_g_cm3": 10.4, "e_form_mev_per_atom": -435, "crystal_system": "tetragonal", "dft_energy_ev_per_cell": -16.70, "n_ef_per_ev_atom": 0.3392}

***

{"formula": "MgMo2Ru", "functional": "PBE", "state": "optimized geometry", "cell": [[1.408, 0.813, 9.392], [-1.408, 0.813, 9.392], [0.000, -1.625, 9.392]], "species": ["Mg", "Mo", "Mo", "Ru"], "frac_coords": [[0.000, 0.000, 0.000], [0.244, 0.244, 0.244], [0.756, 0.756, 0.756], [0.500, 0.500, 0.500]], "density_g_cm3": 8.2, "e_form_mev_per_atom": 268, "crystal_system": "trigonal", "dft_energy_ev_per_cell": -31.46, "n_ef_per_ev_atom": 1.1430}

***

{"formula": "PmTh2Mn", "functional": "PBE", "state": "optimized geometry", "cell": [[1.981, 1.144, 8.525], [-1.981, 1.144, 8.525], [0.000, -2.287, 8.525]], "species": ["Pm", "Th", "Th", "Mn"], "frac_coords": [[0.000, 0.000, 0.000], [0.551, 0.551, 0.551], [0.773, 0.773, 0.773], [0.154, 0.154, 0.154]], "density_g_cm3": 9.5, "e_form_mev_per_atom": 211, "de_polymorph_mev_per_atom": 47, "crystal_system": "trigonal", "dft_energy_ev_per_cell": -27.91, "n_ef_per_ev_atom": 1.2450}

***

{"formula": "Tb2Y2SiIr4", "functional": "PBE", "state": "optimized geometry", "cell": [[-3.221, 3.221, 4.458], [3.221, -3.221, 4.458], [3.221, 3.221, -4.458]], "species": ["Tb", "Tb", "Y", "Y", "Si", "Ir", "Ir", "Ir", "Ir"], "frac_coords": [[0.250, 0.750, 0.500], [0.750, 0.250, 0.500], [0.190, 0.190, 0.000], [0.810, 0.810, 0.000], [0.500, 0.500, 0.000], [0.246, 0.246, 0.493], [0.246, 0.754, 0.000], [0.754, 0.246, 0.000], [0.754, 0.754, 0.507]], "density_g_cm3": 11.6, "e_form_raw_kj_per_mol_fu": -459, "crystal_system": "tetragonal", "dft_energy_ev_per_cell": -67.81, "n_ef_per_ev_atom": 0.4840}

***

{"formula": "K6ZnPb2", "functional": "PBE", "state": "optimized geometry", "cell": [[5.718, -3.156, 0.000], [5.718, 3.156, 0.000], [-2.198, 0.000, 10.718]], "species": ["K", "K", "K", "K", "K", "K", "Zn", "Pb", "Pb"], "frac_coords": [[0.040, 0.040, 0.227], [0.209, 0.209, 0.575], [0.323, 0.323, 0.922], [0.677, 0.677, 0.078], [0.791, 0.791, 0.425], [0.960, 0.960, 0.773], [0.500, 0.500, 0.500], [0.373, 0.373, 0.261], [0.627, 0.627, 0.739]], "density_g_cm3": 3.1, "e_form_mev_per_atom": -108, "crystal_system": "monoclinic", "dft_energy_ev_per_cell": -16.24, "n_ef_per_ev_atom": 0.2327}